A geometry-optimized V3ReO structure. Source: Alexandria, functional PBE+U.

Results
Uncorrected energy in eV per atom: -6.0223
Energy relative to the lowest polymorph listed for this composition in eV/f.u.: 8.64
V in Å³ per cell: 110.3
Density of states at the Fermi level in states/eV/cell: 1.95

```
V3ReO
1.0
4.7960 0.0000 0.0000
0.0000 4.7960 0.0000
0.0000 0.0000 4.7960
V Re O
3 1 1
direct
0.0000 0.0000 0.5000
0.0000 0.5000 0.0000
0.5000 0.0000 0.0000
0.0000 0.0000 0.0000
0.5000 0.5000 0.5000
```